First-principles (PBE-GGA) data for an optimized crystal structure of Ba16H3Pd5, as listed in Alexandria.

Lattice parameters (Å, degrees): 9.0065 9.0065 14.8482 90.35 90.35 60.36
Fractional positions:
1 Ba 0.3285 0.8320 0.4067
2 Ba 0.5074 0.5074 0.6549
3 Ba 0.6692 0.6692 0.8998
4 Ba 0.9940 0.9940 0.6701
5 Ba 0.9927 0.9927 0.1753
6 Ba 0.8320 0.3285 0.4067
7 Ba 0.5122 0.9861 0.6603
8 Ba 0.9861 0.5122 0.6603
9 Ba 0.1642 0.1642 0.9111
10 Ba 0.8339 0.8339 0.4005
11 Ba 0.0177 0.4954 0.1604
12 Ba 0.4954 0.0177 0.1604
13 Ba 0.3367 0.3367 0.3932
14 Ba 0.1632 0.6685 0.9045
15 Ba 0.4938 0.4938 0.1650
16 Ba 0.6685 0.1632 0.9045
17 H 0.8308 0.8308 0.7794
18 H 0.1685 0.6609 0.2817
19 H 0.6609 0.1685 0.2817
20 Pd 0.3331 0.8342 0.7840
21 Pd 0.6727 0.6727 0.5245
22 Pd 0.8342 0.3331 0.7840
23 Pd 0.1647 0.1647 0.2843
24 Pd 0.3399 0.3399 0.0312

Results
**Size of the total moment**: 0.00 Bohr magnetons per cell
**Space-group type**: No. 8
**N(E_F)**: 0.648 states/eV per atom
**Electronic total energy**: -74.72 eV for the cell shown

=====

First-principles (PBE-GGA) data for an optimized crystal structure of BaH4Pd, as listed in Alexandria.

Lattice parameters (Å, degrees): 4.5114 5.6547 7.2598 112.92 112.46 90.00
Fractional positions:
1 Ba 0.9033 0.8360 0.6720
2 Ba 0.0967 0.1640 0.3280
3 H 0.2492 0.6864 0.3729
4 H 0.4205 0.1295 0.7405
5 H 0.0000 0.3152 0.0000
6 H 0.5795 0.3890 0.2595
7 H 0.7508 0.3136 0.6271
8 H 0.5795 0.8705 0.2595
9 H 0.0000 0.6848 0.0000
10 H 0.4205 0.6110 0.7405
11 Pd 0.3442 0.5752 0.1503
12 Pd 0.6558 0.4248 0.8497

Results
**Size of the total moment**: 0.00 Bohr magnetons per cell
**Space-group type**: No. 12
**N(E_F)**: 0.033 states/eV per atom
**Electronic total energy**: -44.88 eV for the cell shown

=====

First-principles (PBE-GGA) data for an optimized crystal structure of Ba2HPd2, as listed in Alexandria.

Lattice parameters (Å, degrees): 6.1713 6.1713 5.5260 56.06 56.06 90.00
Fractional positions:
1 H 0.0000 0.0000 0.0000
2 Ba 0.7500 0.2500 0.5000
3 Ba 0.2500 0.7500 0.5000
4 Pd 0.2854 0.2854 0.4293
5 Pd 0.7146 0.7146 0.5707

Results
**Size of the total moment**: 0.00 Bohr magnetons per cell
**Energy above the lowest structure with this stoichiometry**: 239 meV/atom
**Space-group type**: No. 139
**N(E_F)**: 0.447 states/eV per atom

=====

First-principles (PBE-GGA) data for an optimized crystal structure of BaH3Pd2, as listed in Alexandria.

Lattice parameters (Å, degrees): 5.4285 6.0742 6.0742 99.15 90.00 90.00
Fractional positions:
1 Ba 0.7500 0.3008 0.6992
2 Ba 0.2500 0.6992 0.3008
3 H 0.2500 0.0020 0.9980
4 H 0.2500 0.6321 0.7362
5 H 0.7500 0.7362 0.6321
6 H 0.2500 0.2638 0.3679
7 H 0.7500 0.3679 0.2638
8 H 0.7500 0.9980 0.0020
9 Pd 0.0000 0.8187 0.8187
10 Pd 0.5000 0.8187 0.8187
11 Pd 0.0000 0.1813 0.1813
12 Pd 0.5000 0.1813 0.1813

Results
**Size of the total moment**: 0.00 Bohr magnetons per cell
**Space-group type**: No. 63
**N(E_F)**: 0.166 states/eV per atom
**Electronic total energy**: -49.73 eV for the cell shown

=====

First-principles (PBE-GGA) data for an optimized crystal structure of Ba2H2Pd, as listed in Alexandria.

Lattice parameters (Å, degrees): 7.7276 7.7276 3.5677 90.00 90.00 90.00
Fractional positions:
1 H 0.3818 0.8818 0.0000
2 H 0.8818 0.6182 0.0000
3 H 0.6182 0.1182 0.0000
4 H 0.1182 0.3818 0.0000
5 Ba 0.1802 0.6802 0.5000
6 Ba 0.6802 0.8198 0.5000
7 Ba 0.8198 0.3198 0.5000
8 Ba 0.3198 0.1802 0.5000
9 Pd 0.0000 0.0000 0.0000
10 Pd 0.5000 0.5000 0.0000

Results
**Size of the total moment**: 0.00 Bohr magnetons per cell
**Energy above the lowest structure with this stoichiometry**: 89 meV/atom
**Space-group type**: No. 127
**N(E_F)**: 0.003 states/eV per atom

=====

First-principles (PBE-GGA) data for an optimized crystal structure of Ba2H2Pd, as listed in Alexandria.

Lattice parameters (Å, degrees): 5.6432 5.6432 5.6758 119.81 119.81 90.00
Fractional positions:
1 Ba 0.2500 0.7500 0.5000
2 Ba 0.7500 0.2500 0.5000
3 H 0.7904 0.7904 0.5809
4 H 0.2096 0.2096 0.4191
5 Pd 0.0000 0.0000 0.0000

Results
**Size of the total moment**: 0.00 Bohr magnetons per cell
**Energy above the lowest structure with this stoichiometry**: 0 meV/atom
**Space-group type**: No. 139
**N(E_F)**: 0.477 states/eV per atom

=====

Repeat the fifth record exactly.
First-principles (PBE-GGA) data for an optimized crystal structure of Ba2H2Pd, as listed in Alexandria.

Lattice parameters (Å, degrees): 7.7276 7.7276 3.5677 90.00 90.00 90.00
Fractional positions:
1 H 0.3818 0.8818 0.0000
2 H 0.8818 0.6182 0.0000
3 H 0.6182 0.1182 0.0000
4 H 0.1182 0.3818 0.0000
5 Ba 0.1802 0.6802 0.5000
6 Ba 0.6802 0.8198 0.5000
7 Ba 0.8198 0.3198 0.5000
8 Ba 0.3198 0.1802 0.5000
9 Pd 0.0000 0.0000 0.0000
10 Pd 0.5000 0.5000 0.0000

Results
**Size of the total moment**: 0.00 Bohr magnetons per cell
**Energy above the lowest structure with this stoichiometry**: 89 meV/atom
**Space-group type**: No. 127
**N(E_F)**: 0.003 states/eV per atom